[1]
Na2In5Pd3 after structural relaxation, computed with PBE.

Lattice parameters (Å, degrees): 4.587 26.749 7.219 90.00 90.00 90.00
Space group Cmc2_1 (No. 36)
One atom of each set of equivalent atoms:
Na (0.000, 0.021, 0.000) (multiplicity 4)
Na (0.000, 0.327, 0.058) (multiplicity 4)
In (0.000, 0.098, 0.367) (multiplicity 4)
In (0.000, 0.206, 0.850) (multiplicity 4)
In (0.000, 0.208, 0.275) (multiplicity 4)
In (0.000, 0.378, 0.510) (multiplicity 4)
In (0.000, 0.449, 0.168) (multiplicity 4)
Pd (0.000, 0.107, 0.755) (multiplicity 4)
Pd (0.000, 0.275, 0.565) (multiplicity 4)
Pd (0.000, 0.452, 0.781) (multiplicity 4)

Computed properties:
Density, kg/m3: 7043
DFT formation energy, eV/atom: -0.345

---

[2]
CrIr2Rh3 after structural relaxation, computed with PBE.

Lattice parameters (Å, degrees): 5.391 3.816 8.140 90.00 90.32 90.00
Space group P2_1/m (No. 11)
One atom of each set of equivalent atoms:
Cr (0.130, 0.250, 0.245) (multiplicity 2)
Ir (0.122, 0.250, 0.920) (multiplicity 2)
Ir (0.368, 0.750, 0.412) (multiplicity 2)
Rh (0.123, 0.250, 0.582) (multiplicity 2)
Rh (0.369, 0.750, 0.090) (multiplicity 2)
Rh (0.374, 0.750, 0.748) (multiplicity 2)

Computed properties:
Density, kg/m3: 14778
DFT formation energy, eV/atom: -0.093

---

[3]
Pa4NiGe8 after structural relaxation, computed with PBE.

Lattice parameters (Å, degrees): 4.042 4.115 15.909 90.00 90.00 90.00
Space group Pmm2 (No. 25)
One atom of each set of equivalent atoms:
Pa (0.000, 0.000, 0.000) (multiplicity 1)
Pa (0.000, 0.500, 0.492) (multiplicity 1)
Pa (0.500, 0.000, 0.790) (multiplicity 1)
Pa (0.500, 0.500, 0.284) (multiplicity 1)
Ni (0.000, 0.500, 0.706) (multiplicity 1)
Ge (0.000, 0.000, 0.331) (multiplicity 1)
Ge (0.000, 0.000, 0.631) (multiplicity 1)
Ge (0.000, 0.500, 0.143) (multiplicity 1)
Ge (0.000, 0.500, 0.852) (multiplicity 1)
Ge (0.500, 0.000, 0.142) (multiplicity 1)
Ge (0.500, 0.000, 0.443) (multiplicity 1)
Ge (0.500, 0.500, 0.630) (multiplicity 1)
Ge (0.500, 0.500, 0.956) (multiplicity 1)

Computed properties:
Density, kg/m3: 9816
DFT formation energy, eV/atom: -0.457

---

[4]
La5Dy6Tm2 after structural relaxation, computed with PBE.

Lattice parameters (Å, degrees): 11.676 20.758 3.629 90.00 90.00 90.00
Space group Pbam (No. 55)
One atom of each set of equivalent atoms:
La (0.000, 0.000, 0.000) (multiplicity 2)
La (0.079, 0.272, 0.000) (multiplicity 4)
La (0.199, 0.551, 0.000) (multiplicity 4)
Dy (0.064, 0.419, 0.500) (multiplicity 4)
Dy (0.079, 0.132, 0.500) (multiplicity 4)
Dy (0.176, 0.859, 0.000) (multiplicity 4)
Tm (0.175, 0.711, 0.500) (multiplicity 4)

Computed properties:
Density, kg/m3: 7580
DFT formation energy, eV/atom: 0.095